Entry 1:
MgHgRu2: relaxed, PBE.

Geometry as POSCAR:
```
MgHgRu2
1.0
-2.071 2.071 3.781
2.071 -2.071 3.781
2.071 2.071 -3.781
Mg Hg Ru
1 1 2
direct
0.000 0.000 0.000
0.750 0.250 0.500
0.250 0.750 0.500
0.500 0.500 0.000
```

Calculated values
DFT formation energy   1.18 eV per formula unit
D(E_F)   1.11 states/eV per atom
Crystal system   tetragonal
M_tot   0.981 μB per formula unit
Relative energy among the computed polymorphs   220 meV/atom

=====

Entry 2:
NaPrCu2F8: relaxed, PBE.

Geometry as POSCAR:
```
NaPrCu2F8
1.0
-2.795 2.795 5.326
2.795 -2.795 5.326
2.795 2.795 -5.326
Na Pr Cu F
1 1 2 8
direct
0.000 0.000 0.000
0.750 0.250 0.500
0.250 0.750 0.500
0.500 0.500 0.000
0.015 0.656 0.061
0.047 0.985 0.641
0.147 0.302 0.570
0.344 0.405 0.359
0.423 0.853 0.155
0.595 0.953 0.939
0.698 0.268 0.845
0.732 0.577 0.430
```

Calculated values
Formation energy (no corrections)   -2.538 eV per atom
Crystal system   tetragonal
M_tot   2.013 μB per formula unit

=====

Entry 3:
SrScBe2Ge: relaxed, PBE.

Geometry as POSCAR:
```
SrScBe2Ge
1.0
4.607 0.000 0.000
0.000 4.607 0.000
0.000 0.000 5.081
Sr Sc Be Ge
1 1 2 1
direct
0.000 0.000 0.000
0.500 0.500 0.000
0.000 0.500 0.500
0.500 0.000 0.500
0.500 0.500 0.500
```

Calculated values
DFT formation energy   2.10 eV per formula unit
D(E_F)   0.46 states/eV per atom
Crystal system   tetragonal
M_tot   0.000 μB per formula unit

=====

Entry 4:
BeNi2Bi: relaxed, PBE.

Geometry as POSCAR:
```
BeNi2Bi
1.0
0.000 3.040 3.040
3.040 0.000 3.040
3.040 3.040 0.000
Be Ni Bi
1 2 1
direct
0.000 0.000 0.000
0.250 0.250 0.250
0.750 0.750 0.750
0.500 0.500 0.500
```

Calculated values
DFT formation energy   0.94 eV per formula unit
D(E_F)   0.45 states/eV per atom
Crystal system   cubic
M_tot   0.000 μB per formula unit
Relative energy among the computed polymorphs   0 meV/atom

=====

Entry 5:
SrTeSe2: relaxed, PBE.

Geometry as POSCAR:
```
SrTeSe2
1.0
4.532 0.000 0.000
0.000 7.765 0.000
-0.115 0.000 7.157
Sr Te Se
2 2 4
direct
0.000 0.000 0.000
0.004 0.500 0.297
0.289 0.000 0.454
0.324 0.500 0.864
0.025 0.250 0.649
0.025 0.750 0.649
0.510 0.252 0.144
0.510 0.748 0.144
```

Calculated values
D(E_F)   0.01 states/eV per atom
Formation energy (no corrections)   -1.008 eV per atom
Crystal system   monoclinic
M_tot   0.000 μB per formula unit

=====

Entry 6:
TbRu4: relaxed, PBE.

Geometry as POSCAR:
```
TbRu4
1.0
4.767 0.000 0.000
0.000 4.767 0.000
0.000 0.000 4.767
Tb Ru
1 4
direct
0.000 0.000 0.000
0.000 0.000 0.500
0.000 0.500 0.000
0.500 0.000 0.000
0.500 0.500 0.500
```

Calculated values
DFT formation energy   11.72 eV per formula unit
D(E_F)   1.60 states/eV per atom
Crystal system   cubic
M_tot   6.399 μB per formula unit

=====

Entry 7:
BaCaPH2: relaxed, PBE.

Geometry as POSCAR:
```
BaCaPH2
1.0
4.365 0.000 0.000
0.000 4.365 0.000
0.000 0.000 11.113
Ba Ca P H
1 1 1 2
direct
0.000 0.000 0.000
0.000 0.000 0.500
0.500 0.500 0.000
0.000 0.500 0.500
0.500 0.000 0.500
```

Calculated values
D(E_F)   0.81 states/eV per atom
Crystal system   tetragonal
M_tot   0.742 μB per formula unit
Relative energy among the computed polymorphs   486 meV/atom

=====

Number 1: DFT total energy -19.27 eV per cell, theoretical density 10929 kg/m³. Number 2: DFT total energy -59.72 eV per cell, theoretical density 4421 kg/m³. Number 3: DFT total energy -17.98 eV per cell, theoretical density 3438 kg/m³. Number 4: DFT total energy -18.23 eV per cell, theoretical density 9907 kg/m³. Number 5: DFT total energy -31.65 eV per cell, theoretical density 4920 kg/m³. Number 6: DFT total energy -30.02 eV per cell, theoretical density 8634 kg/m³. Number 7: DFT total energy -16.58 eV per cell, theoretical density 1650 kg/m³.